Crystalline HoGe2WO8 at its relaxed geometry, computed with PBE with a Hubbard U.

abc: 5.773 5.773 5.773
angles: 107.04 107.04 114.45
Element x y z (fractional)
Ho: 0.000 0.000 0.000
Ge: 0.250 0.750 0.500
Ge: 0.500 0.500 0.000
W: 0.750 0.250 0.500
O: 0.041 0.368 0.326
O: 0.041 0.715 0.674
O: 0.120 0.314 0.806
O: 0.285 0.959 0.326
O: 0.508 0.314 0.194
O: 0.632 0.959 0.674
O: 0.686 0.492 0.806
O: 0.686 0.880 0.194

Values from the calculation:
SG   I-4m2 (119)
Crystal system   tetragonal
Raw total energy   -7.16 eV per atom